# 1
A plane-wave DFT calculation with PBE was carried out for an optimized crystal structure of AgCl.

Properties
ρ = 4.31 g/cm3
Space group = R3m, No. 160
Calculated total energy = -2.792 eV per atom

```
AgCl
1.0
2.1478 1.2400 10.3718
-2.1478 1.2400 10.3718
0.0000 -2.4800 10.3718
Ag Cl
3 3
direct
0.0000 0.0000 0.0000 Ag
0.2223 0.2223 0.2223 Ag
0.4444 0.4444 0.4444 Ag
0.1375 0.1375 0.1375 Cl
0.3598 0.3598 0.3598 Cl
0.9153 0.9153 0.9153 Cl
```

# 2
A plane-wave DFT calculation with PBE was carried out for an optimized crystal structure of AgCl.

Properties
ρ = 5.16 g/cm3
Space group = I4/mmm, No. 139
Calculated total energy = -2.715 eV per atom

```
AgCl
1.0
-1.9079 1.9079 6.3307
1.9079 -1.9079 6.3307
1.9079 1.9079 -6.3307
Ag Cl
2 2
direct
0.1296 0.1296 0.0000 Ag
0.8704 0.8704 0.0000 Ag
0.3602 0.3602 0.0000 Cl
0.6398 0.6398 0.0000 Cl
```

# 3
A plane-wave DFT calculation with PBE was carried out for an optimized crystal structure of AgCl.

Properties
ρ = 2.96 g/cm3
Space group = P6/mmm, No. 191
Calculated total energy = -2.559 eV per atom

```
AgCl
1.0
4.4400 0.0000 0.0000
-2.2200 3.8452 0.0000
0.0000 0.0000 4.7109
Ag Cl
1 1
direct
0.0000 0.0000 0.0000 Ag
0.0000 0.0000 0.5000 Cl
```

# 4
A plane-wave DFT calculation with PBE was carried out for an optimized crystal structure of AgCl.

Properties
ρ = 4.32 g/cm3
Space group = P3m1, No. 156
Calculated total energy = -2.790 eV per atom

```
AgCl
1.0
4.2532 0.0000 0.0000
-2.1266 3.6833 0.0000
0.0000 0.0000 21.0973
Ag Cl
6 6
direct
0.0000 0.0000 0.0000 Ag
0.0000 0.0000 0.3328 Ag
0.0000 0.0000 0.6660 Ag
0.3333 0.6667 0.1655 Ag
0.3333 0.6667 0.5001 Ag
0.6667 0.3333 0.8334 Ag
0.0000 0.0000 0.1228 Cl
0.0000 0.0000 0.4569 Cl
0.0000 0.0000 0.7895 Cl
0.3333 0.6667 0.2895 Cl
0.3333 0.6667 0.6235 Cl
0.6667 0.3333 0.9570 Cl
```

# 5
A plane-wave DFT calculation with PBE was carried out for an optimized crystal structure of Tl2CoAgCl6.

Properties
ρ = 4.99 g/cm3
Space group = C2/m, No. 12
Calculated total energy = -3.193 eV per atom

```
Tl2CoAgCl6
1.0
6.6914 -3.4827 0.0000
6.6914 3.4827 0.0000
-0.8281 0.0000 5.6332
Tl Co Ag Cl
2 1 1 6
direct
0.2017 0.2017 0.1978 Tl
0.7983 0.7983 0.8022 Tl
0.0000 0.0000 0.5000 Co
0.5000 0.5000 0.0000 Ag
0.1431 0.7023 0.2703 Cl
0.2977 0.8569 0.7297 Cl
0.3254 0.3254 0.7860 Cl
0.6746 0.6746 0.2140 Cl
0.7023 0.1431 0.2703 Cl
0.8569 0.2977 0.7297 Cl
```

# 6
A plane-wave DFT calculation with PBE was carried out for an optimized crystal structure of Cs2DyAgCl6.

Properties
ρ = 3.99 g/cm3
Space group = Fm-3m, No. 225
Calculated total energy = -3.879 eV per atom

```
Cs2DyAgCl6
1.0
0.0000 5.3799 5.3799
5.3799 0.0000 5.3799
5.3799 5.3799 0.0000
Cs Dy Ag Cl
2 1 1 6
direct
0.2500 0.2500 0.2500 Cs
0.7500 0.7500 0.7500 Cs
0.0000 0.0000 0.0000 Dy
0.5000 0.5000 0.5000 Ag
0.2450 0.2450 0.7550 Cl
0.2450 0.7550 0.2450 Cl
0.2450 0.7550 0.7550 Cl
0.7550 0.2450 0.2450 Cl
0.7550 0.2450 0.7550 Cl
0.7550 0.7550 0.2450 Cl
```